# NaInPb PBE optimized geometry
# - SG: Cmcm, No. 63
# - Formation enthalpy at 0 K: -113 meV/atom
# - Total energy: -2.701 eV/atom
# - Density of states at the Fermi level: 0.431 states/eV/atom
# - Total magnetic moment: 0.0 μB per formula unit
data_NaInPb
_chemical_formula_sum 'Na2 In2 Pb2'
_cell_length_a 7.5747
_cell_length_b 7.5747
_cell_length_c 5.0249
_cell_angle_alpha 90.00
_cell_angle_beta 90.00
_cell_angle_gamma 143.70
_symmetry_space_group_name_H-M 'P 1'
_symmetry_Int_Tables_number 1
_symmetry_space_group_name_Hall 'P 1'
loop_
_atom_site_label
_atom_site_type_symbol
_atom_site_fract_x
_atom_site_fract_y
_atom_site_fract_z
_atom_site_occupancy
Na1 Na 0.0848 0.9152 0.7500 1
Na2 Na 0.9152 0.0848 0.2500 1
In1 In 0.2518 0.7482 0.2500 1
In2 In 0.7482 0.2518 0.7500 1
Pb1 Pb 0.3994 0.6006 0.7500 1
Pb2 Pb 0.6006 0.3994 0.2500 1

---

# NaIn4Pb PBE optimized geometry
# - SG: Cmcm, No. 63
# - Formation enthalpy at 0 K: 78 meV/atom
# - Total energy: -2.586 eV/atom
# - Density of states at the Fermi level: 0.472 states/eV/atom
# - Total magnetic moment: 0.0 μB per formula unit
data_NaIn4Pb
_chemical_formula_sum 'Na2 In8 Pb2'
_cell_length_a 8.5665
_cell_length_b 8.5665
_cell_length_c 8.5322
_cell_angle_alpha 90.00
_cell_angle_beta 90.00
_cell_angle_gamma 142.84
_symmetry_space_group_name_H-M 'P 1'
_symmetry_Int_Tables_number 1
_symmetry_space_group_name_Hall 'P 1'
loop_
_atom_site_label
_atom_site_type_symbol
_atom_site_fract_x
_atom_site_fract_y
_atom_site_fract_z
_atom_site_occupancy
Na1 Na 0.1358 0.8642 0.7500 1
Na2 Na 0.8642 0.1358 0.2500 1
In1 In 0.0536 0.9464 0.2500 1
In2 In 0.2538 0.7462 0.0787 1
In3 In 0.2538 0.7462 0.4213 1
In4 In 0.5000 0.5000 0.0000 1
In5 In 0.5000 0.5000 0.5000 1
In6 In 0.7462 0.2538 0.5787 1
In7 In 0.7462 0.2538 0.9213 1
In8 In 0.9464 0.0536 0.7500 1
Pb1 Pb 0.3485 0.6515 0.7500 1
Pb2 Pb 0.6515 0.3485 0.2500 1

---

# NaIn4Pb2 PBE optimized geometry
# - SG: Cmmm, No. 65
# - Formation enthalpy at 0 K: -9 meV/atom
# - Total energy: -2.822 eV/atom
# - Density of states at the Fermi level: 0.383 states/eV/atom
# - Total magnetic moment: 0.0 μB per formula unit
data_NaIn4Pb2
_chemical_formula_sum 'Na1 In4 Pb2'
_cell_length_a 12.8286
_cell_length_b 12.8286
_cell_length_c 3.3757
_cell_angle_alpha 90.00
_cell_angle_beta 90.00
_cell_angle_gamma 158.88
_symmetry_space_group_name_H-M 'P 1'
_symmetry_Int_Tables_number 1
_symmetry_space_group_name_Hall 'P 1'
loop_
_atom_site_label
_atom_site_type_symbol
_atom_site_fract_x
_atom_site_fract_y
_atom_site_fract_z
_atom_site_occupancy
Na1 Na 0.0000 0.0000 0.0000 1
In1 In 0.1344 0.8656 0.0000 1
In2 In 0.4306 0.5694 0.5000 1
In3 In 0.5694 0.4306 0.5000 1
In4 In 0.8656 0.1344 0.0000 1
Pb1 Pb 0.2965 0.7035 0.5000 1
Pb2 Pb 0.7035 0.2965 0.5000 1

---

# Na3In2Pb8 PBE optimized geometry
# - SG: Cmmm, No. 65
# - Formation enthalpy at 0 K: 1 meV/atom
# - Total energy: -3.007 eV/atom
# - Density of states at the Fermi level: 0.417 states/eV/atom
# - Total magnetic moment: 0.0 μB per formula unit
data_Na3In2Pb8
_chemical_formula_sum 'Na3 In2 Pb8'
_cell_length_a 9.8389
_cell_length_b 9.8389
_cell_length_c 5.6465
_cell_angle_alpha 90.00
_cell_angle_beta 90.00
_cell_angle_gamma 131.66
_symmetry_space_group_name_H-M 'P 1'
_symmetry_Int_Tables_number 1
_symmetry_space_group_name_Hall 'P 1'
loop_
_atom_site_label
_atom_site_type_symbol
_atom_site_fract_x
_atom_site_fract_y
_atom_site_fract_z
_atom_site_occupancy
Na1 Na 0.0000 0.0000 0.0000 1
Na2 Na 0.2835 0.2835 0.5000 1
Na3 Na 0.7165 0.7165 0.5000 1
In1 In 0.2316 0.7684 0.0000 1
In2 In 0.7684 0.2316 0.0000 1
Pb1 Pb 0.1448 0.8552 0.5000 1
Pb2 Pb 0.1836 0.4100 0.0000 1
Pb3 Pb 0.3288 0.6712 0.5000 1
Pb4 Pb 0.4100 0.1836 0.0000 1
Pb5 Pb 0.5900 0.8164 0.0000 1
Pb6 Pb 0.6712 0.3288 0.5000 1
Pb7 Pb 0.8164 0.5900 0.0000 1
Pb8 Pb 0.8552 0.1448 0.5000 1

---

# NaIn2PdPb PBE optimized geometry
# - SG: P4/mmm, No. 123
# - Formation enthalpy at 0 K: -81 meV/atom
# - Total energy: -3.220 eV/atom
# - Density of states at the Fermi level: 0.563 states/eV/atom
# - Total magnetic moment: 0.0 μB per formula unit
data_NaIn2PdPb
_chemical_formula_sum 'Na1 In2 Pd1 Pb1'
_cell_length_a 5.2180
_cell_length_b 5.2180
_cell_length_c 5.5169
_cell_angle_alpha 90.00
_cell_angle_beta 90.00
_cell_angle_gamma 90.00
_symmetry_space_group_name_H-M 'P 1'
_symmetry_Int_Tables_number 1
_symmetry_space_group_name_Hall 'P 1'
loop_
_atom_site_label
_atom_site_type_symbol
_atom_site_fract_x
_atom_site_fract_y
_atom_site_fract_z
_atom_site_occupancy
Na1 Na 0.0000 0.0000 0.0000 1
In1 In 0.0000 0.5000 0.5000 1
In2 In 0.5000 0.0000 0.5000 1
Pd1 Pd 0.5000 0.5000 0.5000 1
Pb1 Pb 0.5000 0.5000 0.0000 1

---

# NaPmInPb PBE optimized geometry
# - SG: Pmmm, No. 47
# - Formation enthalpy at 0 K: -345 meV/atom
# - Total energy: -3.474 eV/atom
# - Density of states at the Fermi level: 0.580 states/eV/atom
# - Total magnetic moment: 0.0 μB per formula unit
data_NaPmInPb
_chemical_formula_sum 'Na1 Pm1 In1 Pb1'
_cell_length_a 4.5782
_cell_length_b 4.8432
_cell_length_c 4.9742
_cell_angle_alpha 90.00
_cell_angle_beta 90.00
_cell_angle_gamma 90.00
_symmetry_space_group_name_H-M 'P 1'
_symmetry_Int_Tables_number 1
_symmetry_space_group_name_Hall 'P 1'
loop_
_atom_site_label
_atom_site_type_symbol
_atom_site_fract_x
_atom_site_fract_y
_atom_site_fract_z
_atom_site_occupancy
Na1 Na 0.0000 0.0000 0.0000 1
Pm1 Pm 0.0000 0.5000 0.5000 1
In1 In 0.5000 0.5000 0.0000 1
Pb1 Pb 0.5000 0.0000 0.5000 1

---

# Na2PmInPb2 PBE optimized geometry
# - SG: Pmc2_1, No. 26
# - Formation enthalpy at 0 K: -295 meV/atom
# - Total energy: -3.219 eV/atom
# - Density of states at the Fermi level: 0.149 states/eV/atom
# - Total magnetic moment: 0.0 μB per formula unit
data_Na2PmInPb2
_chemical_formula_sum 'Na4 Pm2 In2 Pb4'
_cell_length_a 4.7464
_cell_length_b 9.6528
_cell_length_c 7.8125
_cell_angle_alpha 90.00
_cell_angle_beta 90.00
_cell_angle_gamma 90.00
_symmetry_space_group_name_H-M 'P 1'
_symmetry_Int_Tables_number 1
_symmetry_space_group_name_Hall 'P 1'
loop_
_atom_site_label
_atom_site_type_symbol
_atom_site_fract_x
_atom_site_fract_y
_atom_site_fract_z
_atom_site_occupancy
Na1 Na 0.0000 0.0659 0.0000 1
Na2 Na 0.0000 0.9341 0.5000 1
Na3 Na 0.5000 0.1703 0.3049 1
Na4 Na 0.5000 0.8297 0.8049 1
Pm1 Pm 0.5000 0.4504 0.9251 1
Pm2 Pm 0.5000 0.5496 0.4251 1
In1 In 0.0000 0.3230 0.6018 1
In2 In 0.0000 0.6770 0.1018 1
Pb1 Pb 0.0000 0.3719 0.2055 1
Pb2 Pb 0.0000 0.6281 0.7055 1
Pb3 Pb 0.5000 0.1561 0.7210 1
Pb4 Pb 0.5000 0.8439 0.2210 1

---

# NaPmInPb PBE optimized geometry
# - SG: F-43m, No. 216
# - Formation enthalpy at 0 K: -282 meV/atom
# - Total energy: -3.411 eV/atom
# - Density of states at the Fermi level: 0.521 states/eV/atom
# - Total magnetic moment: 0.0 μB per formula unit
data_NaPmInPb
_chemical_formula_sum 'Na1 Pm1 In1 Pb1'
_cell_length_a 5.4348
_cell_length_b 5.4348
_cell_length_c 5.4348
_cell_angle_alpha 60.00
_cell_angle_beta 60.00
_cell_angle_gamma 60.00
_symmetry_space_group_name_H-M 'P 1'
_symmetry_Int_Tables_number 1
_symmetry_space_group_name_Hall 'P 1'
loop_
_atom_site_label
_atom_site_type_symbol
_atom_site_fract_x
_atom_site_fract_y
_atom_site_fract_z
_atom_site_occupancy
Na1 Na 0.0000 0.0000 0.0000 1
Pm1 Pm 0.5000 0.5000 0.5000 1
In1 In 0.7500 0.7500 0.7500 1
Pb1 Pb 0.2500 0.2500 0.2500 1